Record 1
A plane-wave DFT calculation with PBE was carried out for crystalline ScTe2Mo at its relaxed geometry.

Cell lengths 3.6474, 4.3292, 5.8022 Å; angles 90.00, 97.07, 90.00 degrees
Sites, in units of the cell vectors:
Sc 0.0000 0.0000 0.0000
Te 0.3193 0.5000 0.7413
Te 0.6807 0.5000 0.2587
Mo 0.5000 0.0000 0.5000


Record 2
A plane-wave DFT calculation with PBE was carried out for crystalline ScTeMo2 at its relaxed geometry.

Cell lengths 3.2942, 4.2950, 5.5664 Å; angles 90.00, 98.33, 90.00 degrees
Sites, in units of the cell vectors:
Sc 0.0000 0.0000 0.0000
Te 0.5587 0.5000 0.2184
Mo 0.3249 0.5000 0.7200
Mo 0.5794 0.0000 0.5389


Record 3
A plane-wave DFT calculation with PBE was carried out for crystalline ScTeMo2 at its relaxed geometry.

Cell lengths 3.5196, 4.5659, 9.0586 Å; angles 90.00, 90.00, 90.00 degrees
Sites, in units of the cell vectors:
Sc 0.0000 0.0000 0.0000
Sc 0.5000 0.5000 0.5000
Te 0.0000 0.5000 0.7672
Te 0.5000 0.0000 0.2672
Mo 0.0000 0.0000 0.5183
Mo 0.0000 0.5000 0.2437
Mo 0.5000 0.0000 0.7437
Mo 0.5000 0.5000 0.0183


Record 4
A plane-wave DFT calculation with PBE was carried out for crystalline ScTe2Mo at its relaxed geometry.

Cell lengths 3.4860, 3.4860, 25.5597 Å; angles 90.00, 90.00, 120.00 degrees
Sites, in units of the cell vectors:
Sc 0.0000 0.0000 0.0000
Sc 0.3333 0.6667 0.6667
Sc 0.6667 0.3333 0.3333
Te 0.0000 0.0000 0.2426
Te 0.0000 0.0000 0.7574
Te 0.3333 0.6667 0.4240
Te 0.3333 0.6667 0.9093
Te 0.6667 0.3333 0.0907
Te 0.6667 0.3333 0.5760
Mo 0.0000 0.0000 0.5000
Mo 0.3333 0.6667 0.1667
Mo 0.6667 0.3333 0.8333


Record 5
A plane-wave DFT calculation with PBE was carried out for crystalline ScTe2Mo at its relaxed geometry.

Cell lengths 3.6385, 5.3276, 4.5980 Å; angles 90.00, 90.00, 90.00 degrees
Sites, in units of the cell vectors:
Sc 0.0000 0.0000 0.0000
Te 0.0000 0.5000 0.8030
Te 0.5000 0.0000 0.4729
Mo 0.5000 0.5000 0.2687


Record 6
A plane-wave DFT calculation with PBE was carried out for crystalline ScTe2Mo at its relaxed geometry.

Cell lengths 10.0512, 3.5871, 4.8968 Å; angles 90.00, 98.98, 90.00 degrees
Sites, in units of the cell vectors:
Sc 0.0000 0.0000 0.0000
Sc 0.5000 0.5000 0.0000
Te 0.0210 0.5000 0.5042
Te 0.2763 0.0000 0.9235
Te 0.5210 0.0000 0.5042
Te 0.7763 0.5000 0.9235
Mo 0.3056 0.5000 0.4016
Mo 0.8056 0.0000 0.4016


Record 7
A plane-wave DFT calculation with PBE was carried out for crystalline ScTe2Mo at its relaxed geometry.

Cell lengths 4.9180, 4.9180, 3.4516 Å; angles 90.00, 90.00, 90.00 degrees
Sites, in units of the cell vectors:
Sc 0.0000 0.0000 0.0000
Te 0.0000 0.5000 0.5000
Te 0.5000 0.0000 0.5000
Mo 0.5000 0.5000 0.0000


Record 8
A plane-wave DFT calculation with PBE was carried out for crystalline ScTeMo2 at its relaxed geometry.

Cell lengths 3.2631, 4.8014, 5.0368 Å; angles 90.00, 92.00, 90.00 degrees
Sites, in units of the cell vectors:
Sc 0.0000 0.0000 0.0000
Te 0.5000 0.0000 0.5000
Mo 0.3744 0.5000 0.7761
Mo 0.6256 0.5000 0.2239


Record 9
A plane-wave DFT calculation with PBE was carried out for crystalline Sc2TeMo at its relaxed geometry.

Cell lengths 4.5257, 3.5877, 10.4209 Å; angles 90.00, 90.00, 90.00 degrees
Sites, in units of the cell vectors:
Sc 0.0000 0.0000 0.0000
Sc 0.0000 0.5000 0.5000
Sc 0.5000 0.0000 0.2994
Sc 0.5000 0.5000 0.7994
Te 0.5000 0.0000 0.5795
Te 0.5000 0.5000 0.0795
Mo 0.0000 0.0000 0.7395
Mo 0.0000 0.5000 0.2395


Record 10
A plane-wave DFT calculation with PBE was carried out for crystalline Sc4TeMo at its relaxed geometry.

Cell lengths 5.7081, 5.7081, 5.7081 Å; angles 60.00, 60.00, 60.00 degrees
Sites, in units of the cell vectors:
Sc 0.3779 0.3779 0.3779
Sc 0.3779 0.3779 0.8664
Sc 0.3779 0.8664 0.3779
Sc 0.8664 0.3779 0.3779
Te 0.0000 0.0000 0.0000
Mo 0.7500 0.7500 0.7500


Record 11
A plane-wave DFT calculation with PBE was carried out for crystalline Sc2TeMo at its relaxed geometry.

Cell lengths 4.2635, 4.2635, 19.6194 Å; angles 90.00, 90.00, 90.00 degrees
Sites, in units of the cell vectors:
Sc 0.2485 0.2500 0.1250
Sc 0.2500 0.7485 0.3750
Sc 0.2500 0.7515 0.8750
Sc 0.2515 0.2500 0.6250
Sc 0.7485 0.7500 0.6250
Sc 0.7500 0.2485 0.8750
Sc 0.7500 0.2515 0.3750
Sc 0.7515 0.7500 0.1250
Te 0.0000 0.0000 0.5000
Te 0.0000 0.5000 0.7500
Te 0.5000 0.0000 0.2500
Te 0.5000 0.5000 0.0000
Mo 0.0000 0.0000 0.0000
Mo 0.0000 0.5000 0.2500
Mo 0.5000 0.0000 0.7500
Mo 0.5000 0.5000 0.5000


Record 12
A plane-wave DFT calculation with PBE was carried out for crystalline ScTe2Mo at its relaxed geometry.

Cell lengths 3.6016, 3.6016, 7.4324 Å; angles 90.00, 90.00, 90.00 degrees
Sites, in units of the cell vectors:
Sc 0.0000 0.0000 0.0000
Te 0.0000 0.0000 0.6008
Te 0.5000 0.5000 0.1754
Mo 0.5000 0.5000 0.7769


Number 1: VASP energy -5.85 eV/atom, formation energy (no corrections) 1 kJ per mole of atoms, theoretical density 7.23 g/cm3. Number 2: VASP energy -7.72 eV/atom, formation energy (no corrections) 6 kJ per mole of atoms, theoretical density 7.77 g/cm3. Number 3: VASP energy -7.73 eV/atom, formation energy (no corrections) 5 kJ per mole of atoms, theoretical density 8.31 g/cm3. Number 4: VASP energy -5.90 eV/atom, formation energy (no corrections) -4 kJ per mole of atoms, theoretical density 7.34 g/cm3. Number 5: VASP energy -6.12 eV/atom, formation energy (no corrections) -25 kJ per mole of atoms, theoretical density 7.38 g/cm3. Number 6: VASP energy -6.17 eV/atom, formation energy (no corrections) -30 kJ per mole of atoms, theoretical density 7.54 g/cm3. Number 7: VASP energy -6.11 eV/atom, formation energy (no corrections) -24 kJ per mole of atoms, theoretical density 7.88 g/cm3. Number 8: VASP energy -7.61 eV/atom, formation energy (no corrections) 17 kJ per mole of atoms, theoretical density 7.67 g/cm3. Number 9: VASP energy -6.92 eV/atom, formation energy (no corrections) -25 kJ per mole of atoms, theoretical density 6.15 g/cm3. Number 10: VASP energy -6.17 eV/atom, formation energy (no corrections) 37 kJ per mole of atoms, theoretical density 5.09 g/cm3. Number 11: VASP energy -6.34 eV/atom, formation energy (no corrections) 31 kJ per mole of atoms, theoretical density 5.84 g/cm3. Number 12: VASP energy -6.31 eV/atom, formation energy (no corrections) -44 kJ per mole of atoms, theoretical density 6.82 g/cm3.